{"formula": "Ce4PrHo3S8", "functional": "PBE", "state": "optimized geometry", "cell": [[3.974, 2.294, 6.542], [-3.974, 2.294, 6.542], [0.000, -4.589, 6.542]], "species": ["Ce", "Ce", "Ce", "Ce", "Pr", "Ho", "Ho", "Ho", "S", "S", "S", "S", "S", "S", "S", "S"], "frac_coords": [[0.000, 0.000, 0.000], [0.000, 0.500, 0.500], [0.500, 0.000, 0.500], [0.500, 0.500, 0.000], [0.500, 0.500, 0.500], [0.000, 0.000, 0.500], [0.000, 0.500, 0.000], [0.500, 0.000, 0.000], [0.238, 0.752, 0.752], [0.245, 0.245, 0.245], [0.248, 0.248, 0.762], [0.248, 0.762, 0.248], [0.752, 0.238, 0.752], [0.752, 0.752, 0.238], [0.755, 0.755, 0.755], [0.762, 0.248, 0.248]], "energy_ev_per_atom": -6.722, "e_form_raw_mev_per_atom": -2018}